Record 1
A relaxed structure of PaCdNO, computed with GGA-PBE.

The structure in CIF format:
```
data_PaCdNO
_chemical_formula_sum 'Pa2 Cd2 N2 O2'
_cell_length_a 3.562
_cell_length_b 3.562
_cell_length_c 9.528
_cell_angle_alpha 90.00
_cell_angle_beta 90.00
_cell_angle_gamma 90.00
_symmetry_space_group_name_H-M 'P 1'
_symmetry_Int_Tables_number 1
loop_
_symmetry_equiv_pos_as_xyz
'x,y,z'
loop_
_atom_site_label
_atom_site_type_symbol
_atom_site_fract_x
_atom_site_fract_y
_atom_site_fract_z
_atom_site_occupancy
Pa1 Pa 0.250 0.250 0.159 1
Pa2 Pa 0.750 0.750 0.841 1
Cd1 Cd 0.250 0.750 0.500 1
Cd2 Cd 0.750 0.250 0.500 1
N1 N 0.250 0.250 0.773 1
N2 N 0.750 0.750 0.227 1
O1 O 0.250 0.750 0.000 1
O2 O 0.750 0.250 0.000 1
```

Calculated values
Space-group type   P4/nmm
Total energy   -6.691 eV per atom
M_tot   0.04 μB/cell
Polymorph energy (0 for the lowest one)   83 meV/atom

=====

Record 2
A relaxed structure of TcO2, computed with GGA-PBE.

The structure in CIF format:
```
data_TcO2
_chemical_formula_sum 'Tc2 O4'
_cell_length_a 6.032
_cell_length_b 6.032
_cell_length_c 6.032
_cell_angle_alpha 60.00
_cell_angle_beta 60.00
_cell_angle_gamma 60.00
_symmetry_space_group_name_H-M 'P 1'
_symmetry_Int_Tables_number 1
loop_
_symmetry_equiv_pos_as_xyz
'x,y,z'
loop_
_atom_site_label
_atom_site_type_symbol
_atom_site_fract_x
_atom_site_fract_y
_atom_site_fract_z
_atom_site_occupancy
Tc1 Tc 0.125 0.125 0.125 1
Tc2 Tc 0.875 0.875 0.875 1
O1 O 0.000 0.000 0.000 1
O2 O 0.000 0.000 0.500 1
O3 O 0.000 0.500 0.000 1
O4 O 0.500 0.000 0.000 1
```

Calculated values
Space-group type   Fd-3m
Total energy   -7.779 eV per atom
M_tot   0.00 μB/cell
Polymorph energy (0 for the lowest one)   392 meV/atom

=====

Record 3
A relaxed structure of Nd2Ge2Pd3Pt, computed with GGA-PBE.

The structure in CIF format:
```
data_Nd2Ge2Pd3Pt
_chemical_formula_sum 'Nd2 Ge2 Pd3 Pt1'
_cell_length_a 4.441
_cell_length_b 4.441
_cell_length_c 9.398
_cell_angle_alpha 90.00
_cell_angle_beta 90.00
_cell_angle_gamma 120.00
_symmetry_space_group_name_H-M 'P 1'
_symmetry_Int_Tables_number 1
loop_
_symmetry_equiv_pos_as_xyz
'x,y,z'
loop_
_atom_site_label
_atom_site_type_symbol
_atom_site_fract_x
_atom_site_fract_y
_atom_site_fract_z
_atom_site_occupancy
Nd1 Nd 0.000 0.000 0.000 1
Nd2 Nd 0.333 0.667 0.498 1
Ge1 Ge 0.667 0.333 0.243 1
Ge2 Ge 0.667 0.333 0.746 1
Pd1 Pd 0.000 0.000 0.329 1
Pd2 Pd 0.000 0.000 0.672 1
Pd3 Pd 0.333 0.667 0.823 1
Pt1 Pt 0.333 0.667 0.172 1
```

Calculated values
Space-group type   P3m1
Total energy   -5.860 eV per atom
M_tot   0.01 μB/cell

=====

Record 4
A relaxed structure of ZnTcNO, computed with GGA-PBE.

The structure in CIF format:
```
data_ZnTcNO
_chemical_formula_sum 'Zn4 Tc4 N4 O4'
_cell_length_a 5.122
_cell_length_b 7.090
_cell_length_c 5.047
_cell_angle_alpha 90.00
_cell_angle_beta 90.00
_cell_angle_gamma 90.00
_symmetry_space_group_name_H-M 'P 1'
_symmetry_Int_Tables_number 1
loop_
_symmetry_equiv_pos_as_xyz
'x,y,z'
loop_
_atom_site_label
_atom_site_type_symbol
_atom_site_fract_x
_atom_site_fract_y
_atom_site_fract_z
_atom_site_occupancy
Zn1 Zn 0.113 0.109 0.000 1
Zn2 Zn 0.387 0.109 0.500 1
Zn3 Zn 0.613 0.891 0.000 1
Zn4 Zn 0.887 0.891 0.500 1
Tc1 Tc 0.108 0.571 0.022 1
Tc2 Tc 0.392 0.571 0.522 1
Tc3 Tc 0.608 0.429 0.022 1
Tc4 Tc 0.892 0.429 0.522 1
N1 N 0.034 0.663 0.667 1
N2 N 0.466 0.663 0.167 1
N3 N 0.534 0.337 0.667 1
N4 N 0.966 0.337 0.167 1
O1 O 0.016 0.140 0.623 1
O2 O 0.484 0.140 0.123 1
O3 O 0.516 0.860 0.623 1
O4 O 0.984 0.860 0.123 1
```

Calculated values
Space-group type   Pca2_1
Total energy   -6.733 eV per atom
M_tot   0.00 μB/cell
Polymorph energy (0 for the lowest one)   0 meV/atom

=====

Record 5
A relaxed structure of YErCd, computed with GGA-PBE.

The structure in CIF format:
```
data_YErCd
_chemical_formula_sum 'Y1 Er1 Cd1'
_cell_length_a 5.073
_cell_length_b 5.073
_cell_length_c 5.073
_cell_angle_alpha 60.00
_cell_angle_beta 60.00
_cell_angle_gamma 60.00
_symmetry_space_group_name_H-M 'P 1'
_symmetry_Int_Tables_number 1
loop_
_symmetry_equiv_pos_as_xyz
'x,y,z'
loop_
_atom_site_label
_atom_site_type_symbol
_atom_site_fract_x
_atom_site_fract_y
_atom_site_fract_z
_atom_site_occupancy
Y1 Y 0.000 0.000 0.000 1
Er1 Er 0.750 0.750 0.750 1
Cd1 Cd 0.500 0.500 0.500 1
```

Calculated values
Space-group type   F-43m
Total energy   -3.459 eV per atom
M_tot   0.00 μB/cell
Polymorph energy (0 for the lowest one)   0 meV/atom

=====

Record 6
A relaxed structure of ScFeCoSi, computed with GGA-PBE.

The structure in CIF format:
```
data_ScFeCoSi
_chemical_formula_sum 'Sc1 Fe1 Co1 Si1'
_cell_length_a 4.111
_cell_length_b 4.111
_cell_length_c 4.111
_cell_angle_alpha 60.00
_cell_angle_beta 60.00
_cell_angle_gamma 60.00
_symmetry_space_group_name_H-M 'P 1'
_symmetry_Int_Tables_number 1
loop_
_symmetry_equiv_pos_as_xyz
'x,y,z'
loop_
_atom_site_label
_atom_site_type_symbol
_atom_site_fract_x
_atom_site_fract_y
_atom_site_fract_z
_atom_site_occupancy
Sc1 Sc 0.000 0.000 0.000 1
Fe1 Fe 0.250 0.250 0.250 1
Co1 Co 0.750 0.750 0.750 1
Si1 Si 0.500 0.500 0.500 1
```

Calculated values
Space-group type   F-43m
Total energy   -7.310 eV per atom
M_tot   0.01 μB/cell
Polymorph energy (0 for the lowest one)   0 meV/atom

=====

Record 7
A relaxed structure of LiTaCuGe, computed with GGA-PBE.

The structure in CIF format:
```
data_LiTaCuGe
_chemical_formula_sum 'Li1 Ta1 Cu1 Ge1'
_cell_length_a 4.329
_cell_length_b 4.329
_cell_length_c 4.329
_cell_angle_alpha 60.00
_cell_angle_beta 60.00
_cell_angle_gamma 60.00
_symmetry_space_group_name_H-M 'P 1'
_symmetry_Int_Tables_number 1
loop_
_symmetry_equiv_pos_as_xyz
'x,y,z'
loop_
_atom_site_label
_atom_site_type_symbol
_atom_site_fract_x
_atom_site_fract_y
_atom_site_fract_z
_atom_site_occupancy
Li1 Li 0.000 0.000 0.000 1
Ta1 Ta 0.750 0.750 0.750 1
Cu1 Cu 0.500 0.500 0.500 1
Ge1 Ge 0.250 0.250 0.250 1
```

Calculated values
Space-group type   F-43m
Total energy   -5.144 eV per atom
M_tot   0.80 μB/cell
Polymorph energy (0 for the lowest one)   136 meV/atom

=====

Record 8
A relaxed structure of La2Tl2ZnCd, computed with GGA-PBE.

The structure in CIF format:
```
data_La2Tl2ZnCd
_chemical_formula_sum 'La2 Tl2 Zn1 Cd1'
_cell_length_a 4.920
_cell_length_b 4.920
_cell_length_c 7.854
_cell_angle_alpha 90.00
_cell_angle_beta 90.00
_cell_angle_gamma 120.00
_symmetry_space_group_name_H-M 'P 1'
_symmetry_Int_Tables_number 1
loop_
_symmetry_equiv_pos_as_xyz
'x,y,z'
loop_
_atom_site_label
_atom_site_type_symbol
_atom_site_fract_x
_atom_site_fract_y
_atom_site_fract_z
_atom_site_occupancy
La1 La 0.000 0.000 0.000 1
La2 La 0.000 0.000 0.492 1
Tl1 Tl 0.333 0.667 0.703 1
Tl2 Tl 0.667 0.333 0.215 1
Zn1 Zn 0.333 0.667 0.292 1
Cd1 Cd 0.667 0.333 0.789 1
```

Calculated values
Space-group type   P3m1
Total energy   -3.193 eV per atom
M_tot   0.00 μB/cell

=====

Record 9
A relaxed structure of Hf3Ge5Au, computed with GGA-PBE.

The structure in CIF format:
```
data_Hf3Ge5Au
_chemical_formula_sum 'Hf3 Ge5 Au1'
_cell_length_a 5.794
_cell_length_b 5.794
_cell_length_c 6.859
_cell_angle_alpha 90.00
_cell_angle_beta 90.00
_cell_angle_gamma 120.00
_symmetry_space_group_name_H-M 'P 1'
_symmetry_Int_Tables_number 1
loop_
_symmetry_equiv_pos_as_xyz
'x,y,z'
loop_
_atom_site_label
_atom_site_type_symbol
_atom_site_fract_x
_atom_site_fract_y
_atom_site_fract_z
_atom_site_occupancy
Hf1 Hf 0.000 0.500 0.000 1
Hf2 Hf 0.500 0.000 0.000 1
Hf3 Hf 0.500 0.500 0.000 1
Ge1 Ge 0.000 0.000 0.000 1
Ge2 Ge 0.333 0.667 0.327 1
Ge3 Ge 0.333 0.667 0.673 1
Ge4 Ge 0.667 0.333 0.327 1
Ge5 Ge 0.667 0.333 0.673 1
Au1 Au 0.000 0.000 0.500 1
```

Calculated values
Space-group type   P6/mmm
Total energy   -6.052 eV per atom
M_tot   0.01 μB/cell

=====

Record 10
A relaxed structure of HfTlCu3S4, computed with GGA-PBE.

The structure in CIF format:
```
data_HfTlCu3S4
_chemical_formula_sum 'Hf2 Tl2 Cu6 S8'
_cell_length_a 5.700
_cell_length_b 7.221
_cell_length_c 9.568
_cell_angle_alpha 90.00
_cell_angle_beta 104.77
_cell_angle_gamma 90.00
_symmetry_space_group_name_H-M 'P 1'
_symmetry_Int_Tables_number 1
loop_
_symmetry_equiv_pos_as_xyz
'x,y,z'
loop_
_atom_site_label
_atom_site_type_symbol
_atom_site_fract_x
_atom_site_fract_y
_atom_site_fract_z
_atom_site_occupancy
Hf1 Hf 0.120 0.250 0.302 1
Hf2 Hf 0.880 0.750 0.698 1
Tl1 Tl 0.222 0.250 0.899 1
Tl2 Tl 0.778 0.750 0.101 1
Cu1 Cu 0.288 0.554 0.521 1
Cu2 Cu 0.288 0.946 0.521 1
Cu3 Cu 0.422 0.750 0.759 1
Cu4 Cu 0.578 0.250 0.241 1
Cu5 Cu 0.712 0.054 0.479 1
Cu6 Cu 0.712 0.446 0.479 1
S1 S 0.049 0.250 0.543 1
S2 S 0.197 0.750 0.918 1
S3 S 0.376 0.512 0.288 1
S4 S 0.376 0.988 0.288 1
S5 S 0.624 0.012 0.712 1
S6 S 0.624 0.488 0.712 1
S7 S 0.803 0.250 0.082 1
S8 S 0.951 0.750 0.457 1
```

Calculated values
Space-group type   P2_1/m
Total energy   -5.087 eV per atom
M_tot   0.01 μB/cell
Polymorph energy (0 for the lowest one)   0 meV/atom

=====

Record 11
A relaxed structure of Ta5H, computed with GGA-PBE.

The structure in CIF format:
```
data_Ta5H
_chemical_formula_sum 'Ta5 H1'
_cell_length_a 7.311
_cell_length_b 7.311
_cell_length_c 2.895
_cell_angle_alpha 97.47
_cell_angle_beta 97.47
_cell_angle_gamma 37.76
_symmetry_space_group_name_H-M 'P 1'
_symmetry_Int_Tables_number 1
loop_
_symmetry_equiv_pos_as_xyz
'x,y,z'
loop_
_atom_site_label
_atom_site_type_symbol
_atom_site_fract_x
_atom_site_fract_y
_atom_site_fract_z
_atom_site_occupancy
Ta1 Ta 0.000 0.000 0.000 1
Ta2 Ta 0.182 0.220 0.805 1
Ta3 Ta 0.371 0.420 0.598 1
Ta4 Ta 0.580 0.629 0.402 1
Ta5 Ta 0.780 0.818 0.195 1
H1 H 0.733 0.267 0.500 1
```

Calculated values
Space-group type   C2
Total energy   -10.505 eV per atom
M_tot   0.01 μB/cell
Polymorph energy (0 for the lowest one)   0 meV/atom

=====

Record 12
A relaxed structure of La3CdO, computed with GGA-PBE.

The structure in CIF format:
```
data_La3CdO
_chemical_formula_sum 'La6 Cd2 O2'
_cell_length_a 7.167
_cell_length_b 7.167
_cell_length_c 7.167
_cell_angle_alpha 120.02
_cell_angle_beta 89.94
_cell_angle_gamma 120.04
_symmetry_space_group_name_H-M 'P 1'
_symmetry_Int_Tables_number 1
loop_
_symmetry_equiv_pos_as_xyz
'x,y,z'
loop_
_atom_site_label
_atom_site_type_symbol
_atom_site_fract_x
_atom_site_fract_y
_atom_site_fract_z
_atom_site_occupancy
La1 La 0.248 0.000 0.748 1
La2 La 0.248 0.500 0.248 1
La3 La 0.253 0.003 0.250 1
La4 La 0.747 0.997 0.750 1
La5 La 0.752 0.000 0.252 1
La6 La 0.752 0.500 0.752 1
Cd1 Cd 0.250 0.500 0.750 1
Cd2 Cd 0.750 0.500 0.250 1
O1 O 0.000 0.000 0.000 1
O2 O 0.500 0.000 0.500 1
```

Calculated values
Space-group type   Imma
Total energy   -5.437 eV per atom
M_tot   0.00 μB/cell